(1)
# CeSmTm4S8

CeSmTm4S8 after structural relaxation (PBE, Alexandria).

a b c (Å): 8.0971 8.0971 8.0971
angles (deg): 59.41 59.41 59.41
Atoms (fractional coordinates):
Ce  0.0000  0.0000  0.0000
Sm  0.3738  0.3738  0.3738
Tm  0.3734  0.3734  0.8732
Tm  0.3734  0.8732  0.3734
Tm  0.7475  0.7475  0.7475
Tm  0.8732  0.3734  0.3734
S  0.1297  0.1297  0.5887
S  0.1297  0.5887  0.1297
S  0.1370  0.1370  0.1370
S  0.1411  0.6232  0.6232
S  0.5887  0.1297  0.1297
S  0.6155  0.6155  0.6155
S  0.6232  0.1411  0.6232
S  0.6232  0.6232  0.1411

## Properties
symmetry: R3m, No. 160
volume: 26.5 A^3/atom
formation energy without anion corrections: -1.90 eV/atom
E_tot: -6.296 eV/atom

---

(2)
# Ce3Sm4TmS8

Ce3Sm4TmS8 after structural relaxation (PBE, Alexandria).

a b c (Å): 7.9811 7.9811 7.9811
angles (deg): 60.11 60.11 60.11
Atoms (fractional coordinates):
Ce  0.0000  0.5000  0.5000
Ce  0.5000  0.0000  0.5000
Ce  0.5000  0.5000  0.0000
Sm  0.0000  0.0000  0.5000
Sm  0.0000  0.5000  0.0000
Sm  0.5000  0.0000  0.0000
Sm  0.5000  0.5000  0.5000
Tm  0.0000  0.0000  0.0000
S  0.2438  0.7554  0.7554
S  0.2446  0.2446  0.7562
S  0.2446  0.7562  0.2446
S  0.2494  0.2494  0.2494
S  0.7506  0.7506  0.7506
S  0.7554  0.2438  0.7554
S  0.7554  0.7554  0.2438
S  0.7562  0.2446  0.2446

## Properties
symmetry: R-3m, No. 166
volume: 22.5 A^3/atom
formation energy without anion corrections: -2.02 eV/atom
E_tot: -6.658 eV/atom

---

(3)
# Ce3SmTm2S6

Ce3SmTm2S6 after structural relaxation (PBE, Alexandria).

a b c (Å): 6.8328 6.8328 6.9256
angles (deg): 99.48 99.48 120.04
Atoms (fractional coordinates):
Ce  0.0000  0.0000  0.0000
Ce  0.3366  0.6634  0.0000
Ce  0.6634  0.3366  0.0000
Sm  0.5000  0.5000  0.5000
Tm  0.1670  0.8330  0.5000
Tm  0.8330  0.1670  0.5000
S  0.0784  0.4206  0.2619
S  0.2360  0.2360  0.7347
S  0.4206  0.0784  0.2619
S  0.5794  0.9216  0.7381
S  0.7640  0.7640  0.2653
S  0.9216  0.5794  0.7381

## Properties
symmetry: C2/m, No. 12
volume: 22.0 A^3/atom
formation energy without anion corrections: -2.01 eV/atom
E_tot: -6.699 eV/atom

---

(4)
# CeSm3Tm3S8

CeSm3Tm3S8 after structural relaxation (PBE, Alexandria).

a b c (Å): 7.8706 7.8706 7.8706
angles (deg): 59.81 59.81 59.81
Atoms (fractional coordinates):
Ce  0.0000  0.0000  0.0000
Sm  0.0000  0.0000  0.5000
Sm  0.0000  0.5000  0.0000
Sm  0.5000  0.0000  0.0000
Tm  0.0000  0.5000  0.5000
Tm  0.5000  0.0000  0.5000
Tm  0.5000  0.5000  0.0000
S  0.2548  0.2548  0.2548
S  0.2552  0.2552  0.7343
S  0.2552  0.7343  0.2552
S  0.2657  0.7448  0.7448
S  0.7343  0.2552  0.2552
S  0.7448  0.2657  0.7448
S  0.7448  0.7448  0.2657
S  0.7452  0.7452  0.7452

## Properties
symmetry: R-3m, No. 166
volume: 22.9 A^3/atom
formation energy without anion corrections: -2.01 eV/atom
E_tot: -6.441 eV/atom

---

Among the records above, which one has the lowest volume?
Ce3SmTm2S6